# Tl3VF7

A geometry-optimized Tl3VF7 structure (PBE with a Hubbard U, Alexandria via LeMat-Bulk).

Summary:
total energy: -4.791 eV per atom

Unit cell a=6.073 b=6.073 c=7.063 alpha=111.59 beta=111.59 gamma=87.42
Atoms (fractional coordinates):
Tl1 0.000 0.000 0.000
Tl2 0.261 0.749 0.511
Tl3 0.749 0.261 0.511
V1 0.509 0.509 0.037
F1 0.051 0.051 0.366
F2 0.205 0.532 0.849
F3 0.369 0.369 0.177
F4 0.490 0.810 0.240
F5 0.532 0.205 0.849
F6 0.648 0.648 0.903
F7 0.810 0.490 0.240